Entry 1:
{
  "formula": "Li2NdIn2",
  "functional": "PBE-GGA",
  "state": "optimized geometry",
  "lattice": [[4.879, 0.000, 0.000], [0.000, 5.065, 0.936], [0.000, 0.622, 9.899]],
  "species": ["Li", "Li", "Li", "Li", "In", "In", "In", "In", "Nd", "Nd"],
  "frac_coords": [[0.750, 0.560, 0.921], [0.750, 0.346, 0.299], [0.250, 0.440, 0.079], [0.250, 0.654, 0.701], [0.750, 0.744, 0.518], [0.250, 0.256, 0.482], [0.750, 0.978, 0.086], [0.250, 0.022, 0.914], [0.250, 0.842, 0.301], [0.750, 0.158, 0.699]],
  "dft_energy_ev_per_atom": -3.133,
  "vol_a3_per_atom": 24.18,
  "e_form_ev_per_atom": -0.3186,
  "magmom_total_mub_per_fu": 0.00
}

***

Entry 2:
{
  "formula": "LiNd2In9",
  "functional": "PBE-GGA",
  "state": "optimized geometry",
  "lattice": [[-2.716, -1.012, -3.685], [0.949, -4.558, 0.552], [-10.918, -1.258, 8.392]],
  "species": ["In", "In", "In", "In", "In", "In", "In", "In", "In", "Li", "Nd", "Nd"],
  "frac_coords": [[0.500, 0.000, 0.848], [0.000, 0.500, 0.500], [0.500, 0.000, 0.152], [0.500, 0.500, 0.334], [0.000, 0.500, 0.152], [0.500, 0.500, 0.666], [0.500, 0.500, 0.000], [0.000, 0.500, 0.848], [0.500, 0.000, 0.500], [0.000, 0.000, 0.000], [0.000, 0.000, 0.673], [0.000, 0.000, 0.327]],
  "dft_energy_ev_per_atom": -3.353,
  "vol_a3_per_atom": 25.33,
  "e_form_ev_per_atom": -0.3449,
  "magmom_total_mub_per_fu": 0.00
}

***

Entry 3:
{
  "formula": "Li2Nd5In5",
  "functional": "PBE-GGA",
  "state": "optimized geometry",
  "lattice": [[-0.399, -5.219, 0.470], [4.662, 2.036, -2.815], [-0.954, 1.370, 14.415]],
  "species": ["Nd", "Nd", "Nd", "Nd", "Nd", "Li", "Li", "In", "In", "In", "In", "In"],
  "frac_coords": [[0.742, 0.483, 0.310], [0.258, 0.517, 0.690], [0.677, 0.353, 0.020], [0.500, 0.000, 0.500], [0.323, 0.647, 0.980], [0.968, 0.937, 0.799], [0.032, 0.063, 0.201], [0.362, 0.723, 0.223], [0.638, 0.277, 0.777], [0.000, 0.000, 0.000], [0.132, 0.264, 0.422], [0.868, 0.736, 0.578]],
  "dft_energy_ev_per_atom": -3.749,
  "vol_a3_per_atom": 27.28,
  "e_form_ev_per_atom": -0.3028,
  "magmom_total_mub_per_fu": 0.00
}